# K2CaIr

A crystal of K2CaIr relaxed with PBEsol (SCAN, Alexandria via LeMat-Bulk).

Properties
Formation enthalpy at 0 K = 15.0 kcal/mol of atoms
Fermi-level density of states = 0.491 states/eV per atom
E above lowest polymorph = 0.1706 eV per atom

abc: 6.719 6.719 3.800
angles: 105.05 105.05 127.11
Fractional coordinates of all 4 atoms:
K (0.000, 0.500, 0.000)
K (0.500, 0.000, 0.000)
Ca (0.000, 0.000, 0.500)
Ir (0.500, 0.500, 0.500)